NaInRh3 | meta-GGA SCAN | PBEsol geometry

```
data_NaInRh3
_chemical_formula_sum 'Na1 In1 Rh3'
_cell_length_a 4.876
_cell_length_b 4.876
_cell_length_c 4.876
_cell_angle_alpha 90.00
_cell_angle_beta 90.00
_cell_angle_gamma 90.00
_symmetry_space_group_name_H-M 'P m -3 m'
_symmetry_Int_Tables_number 221
_symmetry_space_group_name_Hall '-P 4 2 3'
loop_
_atom_site_label
_atom_site_type_symbol
_atom_site_fract_x
_atom_site_fract_y
_atom_site_fract_z
Na1 Na 0.000 0.000 0.000
In1 In 0.500 0.500 0.500
Rh1 Rh 0.000 0.500 0.500
```

Results
- D(E_F) (states/eV per cell) = 5.5
- uncorrected energy (eV for the cell shown) = -133.15
- spin magnetization (μB/f.u.) = 1.97